A plane-wave DFT calculation with PBE was carried out for crystalline Ti2NbZn2Pt2 at its relaxed geometry.

Cell: 4.4322 4.4230 7.3822 Å, 107.59 90.00 120.07°
Atoms (fractional coordinates):
Zn: 0.1359 0.2718 0.4048
Nb: 0.0000 0.0000 0.0000
Pt: 0.7413 0.4826 0.2215
Zn: 0.8641 0.7282 0.5952
Ti: 0.3933 0.7865 0.1794
Ti: 0.6067 0.2135 0.8206
Pt: 0.2587 0.5174 0.7785

Calculated values
The space group is No. 12. The calculation puts the formation energy at -0.533 eV/atom. As for the total magnetization: 0.0000 μB/atom.